# 1
Here is a relaxed LiHo2Ga2 crystal from the Alexandria database. Energies are from PBE-GGA.

Unit cell a=7.456 b=7.456 c=7.456 alpha=129.65 beta=71.40 gamma=132.91
Sites, in units of the cell vectors:
Li 0.250 0.250 0.000
Li 0.750 0.750 0.000
Ho 0.151 0.697 0.848
Ho 0.349 0.197 0.546
Ho 0.651 0.803 0.454
Ho 0.849 0.303 0.152
Ga 0.107 0.230 0.338
Ga 0.393 0.730 0.123
Ga 0.607 0.270 0.877
Ga 0.893 0.770 0.662

Computed properties:
Space-group type: Ibam
Energy of formation from the pure elements, eV per atom: -0.273
Crystal system: orthorhombic

=====

# 2
Here is a relaxed TlHgB crystal from the Alexandria database. Energies are from PBE-GGA.

Unit cell a=4.333 b=4.780 c=7.303 alpha=101.96 beta=106.82 gamma=90.15
Sites, in units of the cell vectors:
Tl 0.166 0.265 0.335
Tl 0.834 0.735 0.665
Hg 0.421 0.207 0.843
Hg 0.579 0.793 0.157
B 0.042 0.647 0.082
B 0.958 0.353 0.918

Computed properties:
Space-group type: P-1
Energy of formation from the pure elements, eV per atom: 0.563
Crystal system: triclinic

=====

# 3
Here is a relaxed NaHfP2O8 crystal from the Alexandria database. Energies are from PBE-GGA.

Unit cell a=5.603 b=5.603 c=5.603 alpha=105.88 beta=105.88 gamma=116.92
Sites, in units of the cell vectors:
Na 0.000 0.000 0.000
Hf 0.250 0.750 0.500
P 0.500 0.500 0.000
P 0.750 0.250 0.500
O 0.348 0.160 0.811
O 0.348 0.537 0.189
O 0.404 0.079 0.326
O 0.463 0.652 0.811
O 0.753 0.079 0.674
O 0.840 0.652 0.189
O 0.921 0.247 0.326
O 0.921 0.596 0.674

Computed properties:
Space-group type: I-4m2
Formation energy from raw total energies, eV per atom: -2.371
Crystal system: tetragonal

=====

# 4
Here is a relaxed TbSm3Co crystal from the Alexandria database. Energies are from PBE-GGA.

Unit cell a=7.174 b=7.174 c=6.083 alpha=99.12 beta=99.12 gamma=72.32
Sites, in units of the cell vectors:
Tb 0.085 0.085 0.278
Tb 0.915 0.915 0.722
Sm 0.169 0.581 0.205
Sm 0.340 0.340 0.684
Sm 0.419 0.831 0.795
Sm 0.581 0.169 0.205
Sm 0.660 0.660 0.316
Sm 0.831 0.419 0.795
Co 0.182 0.182 0.924
Co 0.818 0.818 0.076

Computed properties:
Space-group type: C2/m
Energy of formation from the pure elements, eV per atom: -0.034
Crystal system: monoclinic

=====

# 5
Here is a relaxed LiCaTc2 crystal from the Alexandria database. Energies are from PBE-GGA.

Unit cell a=5.578 b=5.578 c=2.646 alpha=95.11 beta=95.11 gamma=123.97
Sites, in units of the cell vectors:
Li 0.000 0.000 0.000
Ca 0.500 0.500 0.000
Tc 0.000 0.500 0.500
Tc 0.500 0.000 0.500

Computed properties:
Space-group type: C2/m
Energy of formation from the pure elements, eV per atom: 0.491
Crystal system: monoclinic

=====

# 6
Here is a relaxed DyZn2GaNi2 crystal from the Alexandria database. Energies are from PBE-GGA.

Unit cell a=4.382 b=4.382 c=5.524 alpha=90.00 beta=90.00 gamma=90.00
Sites, in units of the cell vectors:
Dy 0.000 0.000 0.000
Zn 0.500 0.500 0.242
Zn 0.500 0.500 0.758
Ga 0.000 0.000 0.500
Ni 0.000 0.500 0.500
Ni 0.500 0.000 0.500

Computed properties:
Space-group type: P4/mmm
Energy of formation from the pure elements, eV per atom: -0.120
Crystal system: tetragonal

=====

# 7
Here is a relaxed MgTaPt2 crystal from the Alexandria database. Energies are from PBE-GGA.

Unit cell a=2.860 b=2.860 c=8.267 alpha=90.00 beta=90.00 gamma=90.00
Sites, in units of the cell vectors:
Mg 0.000 0.000 0.000
Ta 0.500 0.500 0.702
Pt 0.000 0.000 0.472
Pt 0.500 0.500 0.218

Computed properties:
Space-group type: P4mm
Energy of formation from the pure elements, eV per atom: -0.319
Crystal system: tetragonal

=====

# 8
Here is a relaxed AlSb crystal from the Alexandria database. Energies are from PBE-GGA.

Unit cell a=3.804 b=3.804 c=3.139 alpha=90.00 beta=90.00 gamma=90.00
Sites, in units of the cell vectors:
Al 0.000 0.000 0.000
Sb 0.500 0.500 0.500

Computed properties:
Space-group type: P4/mmm
Formation energy from raw total energies, eV per atom: 0.207
Crystal system: tetragonal

=====

| no. | total magnetic moment (μB/atom) |
| --- | --- |
| 1 | 0.000 |
| 2 | 0.000 |
| 3 | 0.086 |
| 4 | 0.000 |
| 5 | 0.000 |
| 6 | 0.000 |
| 7 | 0.000 |
| 8 | 0.000 |